1.
This record from Alexandria via LeMat-Bulk describes LiAcGdCo after structural relaxation. The functional is PBE.

The structure belongs to space group F-43m (No. 216); the cell edges are 7.2613, 7.2613 and 7.2613 Å and the angles 90.00°, 90.00° and 90.00°. Symmetry generates all atoms from Li at (0.0000, 0.0000, 0.0000), Ac at (0.2500, 0.2500, 0.7500), Gd at (0.2500, 0.2500, 0.2500) and Co at (0.0000, 0.0000, 0.5000).

The raw total energy comes out at -6.72 eV/atom. The calculation puts the formation enthalpy at 0 K at 83 meV per atom.

=====

2.
This record from Alexandria via LeMat-Bulk describes Ho2TmCdAu4 after structural relaxation. The functional is PBE.

The structure belongs to space group R-3m (No. 166, hexagonal axes); the cell edges are 4.9805, 4.9805 and 24.6378 Å and the angles 90.00°, 90.00° and 120.00°. Symmetry generates all atoms from Ho at (0.0000, 0.0000, 0.2435), Tm at (0.0000, 0.0000, 0.0000), Cd at (0.0000, 0.0000, 0.5000), Au at (0.0000, 0.0000, 0.1200) and Au at (0.0000, 0.0000, 0.3664).

The raw total energy comes out at -4.25 eV/atom. The calculation puts the formation enthalpy at 0 K at -795 meV per atom.